Tb2Tm13, relaxed, DFT PBE; energy = -58.3 eV/cell; magnetization = 0.000 μB per atom; ΔH_f (0 K) = 9.1 eV per formula unit
1.0
-8.130 -3.001 1.403
-1.748 -8.551 -0.951
-1.557 -5.040 7.661
Tm Tb
13 2
Cartesian
-6.778 -8.471 7.578
-7.629 -9.218 1.049
-4.658 -8.122 0.536
-5.836 -3.688 3.361
-4.445 -10.499 6.718
-3.807 -7.374 7.065
-1.746 -7.244 1.853
-0.626 -1.765 2.462
-10.809 -14.828 5.652
-5.599 -12.905 4.753
-5.718 -8.296 4.057
-9.689 -9.349 6.261
-6.990 -6.094 1.396
-8.624 -12.412 5.882
-2.812 -4.180 2.232



TcNi2B, relaxed, DFT PBE; energy = -27.2 eV/cell; magnetization = 0.368 μB per atom; ΔH_f (0 K) = 1.4 eV per formula unit
1.0
3.573 0.000 0.000
1.787 3.095 0.000
1.787 1.032 4.007
Tc B Ni
1 1 2
Cartesian
0.000 0.000 0.000
3.573 2.063 2.003
5.360 3.095 2.599
1.787 1.032 1.408



HoZrBeAl, relaxed, DFT PBE; energy = -21.1 eV/cell; magnetization = 0.000 μB per atom; ΔH_f (0 K) = -0.5 eV per formula unit
1.0
-3.201 3.145 -1.664
-4.577 -0.290 1.371
-1.838 3.317 2.921
Be Zr Al Ho
1 1 1 1
Cartesian
0.000 0.000 0.000
-2.404 1.543 0.657
-4.808 3.086 1.314
-7.212 4.628 1.971



Er5Tl2Pd, relaxed, DFT PBE; energy = -72.2 eV/cell; magnetization = 0.000 μB per atom; ΔH_f (0 K) = -3.3 eV per formula unit
1.0
-1.534 -2.483 -3.820
5.980 1.664 -3.482
5.483 -10.302 4.494
Er Tl Pd
10 4 2
Cartesian
2.742 -5.151 2.247
3.786 -2.308 -0.020
5.062 -7.867 3.080
6.401 -0.772 -2.068
5.554 -4.374 -2.412
0.770 -1.837 -2.140
9.159 -9.284 -0.669
7.678 -6.330 1.032
4.376 -6.747 -0.397
2.990 0.832 -1.741
3.725 -1.881 -3.298
8.205 -6.548 -2.063
6.205 -9.240 0.489
1.725 -4.573 -0.746
5.732 -4.319 0.506
0.000 0.000 0.000



Li4AuS4, relaxed, DFT PBE; formation energy from raw total energies = -565 meV/atom; energy = -65.1 eV/cell; magnetization = 0.000 μB per atom
1.0
-3.570 3.570 6.466
3.570 -3.570 6.466
3.570 3.570 -6.466
Li S Au
8 8 2
Cartesian
1.699 3.570 -0.329
3.570 1.699 0.329
1.871 0.000 6.137
0.000 1.871 6.795
1.699 0.000 3.562
3.570 1.871 2.904
0.000 1.699 9.369
1.871 3.570 -2.904
2.239 0.000 1.276
2.239 3.570 1.957
3.570 -1.332 5.190
4.902 0.000 1.276
1.332 0.000 8.423
3.570 2.239 -1.957
3.570 1.332 5.190
0.000 1.332 4.508
0.000 3.570 3.233
0.000 0.000 0.000



LiW2Se, relaxed, DFT PBE; formation energy from raw total energies = 465 meV/atom; energy = -29.4 eV/cell; magnetization = 0.000 μB per atom
1.0
-0.682 -0.359 -4.874
-3.394 -3.410 -1.099
0.496 4.165 2.600
W Li Se
2 1 1
Cartesian
-0.018 -0.016 -0.026
-1.121 0.953 -2.643
-1.985 -1.835 -2.908
-2.495 -0.589 -0.782



IrOs2Pb, relaxed, DFT PBE; energy = -32.2 eV/cell; magnetization = 0.000 μB per atom; ΔH_f (0 K) = 2.8 eV per formula unit
1.0
-2.046 1.770 4.025
-0.723 -0.739 4.738
3.918 2.558 1.734
Os Ir Pb
2 1 1
Cartesian
1.071 2.798 7.857
3.841 2.513 1.716
0.198 0.864 2.672
0.531 1.768 5.235



Ba3LaTl, relaxed, DFT PBE; energy = -10.5 eV/cell; magnetization = 0.001 μB per atom; ΔH_f (0 K) = 2.6 eV per formula unit
1.0
-1.899 -3.822 -4.858
-3.537 -3.496 4.133
-5.069 3.871 -1.064
Ba Tl La
3 1 1
Cartesian
-0.950 -1.911 -2.429
-2.535 1.935 -0.532
-1.768 -1.748 2.067
-5.252 -1.724 -0.894
0.000 0.000 0.000



YTm3Rh2, relaxed, DFT PBE; energy = -77.5 eV/cell; magnetization = 0.000 μB per atom; ΔH_f (0 K) = -4.2 eV per formula unit
1.0
-1.007 -3.509 2.746
6.907 -0.545 1.838
-1.313 5.520 6.572
Rh Y Tm
4 2 6
Cartesian
3.539 2.504 8.298
4.760 1.469 3.624
0.888 3.501 4.799
0.991 -1.034 2.842
2.268 1.189 6.151
-0.966 0.536 4.130
-0.613 2.753 7.092
2.166 4.785 6.910
2.048 1.608 2.806
3.708 -1.169 3.666
6.710 -0.070 2.372
5.047 3.248 6.003



Sm4Cu2Hg, relaxed, DFT PBE; energy = -27.8 eV/cell; magnetization = 0.000 μB per atom; ΔH_f (0 K) = -0.4 eV per formula unit
1.0
4.946 0.000 0.000
2.473 4.283 0.000
2.473 1.428 9.105
Sm Hg Cu
4 1 2
Cartesian
7.419 4.283 5.574
4.946 2.856 1.347
2.473 1.428 3.531
4.946 2.856 7.758
0.000 0.000 0.000
7.419 4.283 2.696
2.473 1.428 6.408



TaCoMo, relaxed, DFT PBE; energy = -29.8 eV/cell; magnetization = 0.045 μB per atom; ΔH_f (0 K) = 0.0 eV per formula unit
1.0
-3.138 -2.484 -4.890
-2.757 -4.591 -3.176
-2.639 0.517 0.542
Mo Co Ta
1 1 1
Cartesian
-3.773 -2.127 -2.456
-5.886 -7.054 -8.042
-4.771 -4.453 -5.092



CoTe2As, relaxed, DFT PBE; formation energy from raw total energies = 145 meV/atom; energy = -17.5 eV/cell; magnetization = 0.000 μB per atom
1.0
6.797 0.078 -0.005
4.442 5.145 0.005
-5.408 -3.067 2.748
As Co Te
1 1 2
Cartesian
3.504 -0.188 1.372
2.327 2.345 1.376
1.102 0.512 0.000
4.517 2.099 0.000



Sm2AlAs, relaxed, DFT PBE; energy = -19.0 eV/cell; magnetization = 0.000 μB per atom; ΔH_f (0 K) = -1.2 eV per formula unit
1.0
-0.312 2.125 3.264
-1.530 -1.587 3.226
8.313 -2.778 4.943
Sm Al As
2 1 1
Cartesian
5.440 -1.826 4.048
1.030 -0.413 7.384
0.000 0.000 0.000
3.235 -1.120 5.716